The following is a GGA+U calculation of a relaxed structure of FeAsPO2, from the Alexandria database.

Results
For the relative energy among the computed polymorphs, the calculation gives 16.2 meV/atom. The value obtained for the mass density is 4.6 g/cm³. The space-group type is P4/mmm, No. 123.

Structure (POSCAR):
```
FeAsPO2
1.0
3.751 0.000 0.000
0.000 3.751 0.000
0.000 0.000 4.987
Fe As P O
1 1 1 2
Direct
0.000 0.000 0.000
0.500 0.500 0.500
0.000 0.000 0.500
0.000 0.500 0.000
0.500 0.000 0.000
```